## P
# LiNd2Te

A relaxed structure of LiNd2Te (PBE, Alexandria).

a b c (Å): 4.0662 4.0662 6.8186
angles (deg): 90.00 90.00 90.00
Closest atoms and distances in Å follow each position.
Fractional coordinates of all 4 atoms:
1 Te 0.5000 0.5000 0.5000  8 Nd 3.35, 2 Li 3.41
2 Nd 0.0000 0.0000 0.2473  4 Li 3.33, 4 Te 3.35, 2 Nd 3.37-3.45
3 Nd 0.0000 0.0000 0.7527  4 Li 3.33, 4 Te 3.35, 2 Nd 3.37-3.45
4 Li 0.5000 0.5000 0.0000  8 Nd 3.33, 2 Te 3.41

Calculated values
For the volume, the calculation gives 113 Å³ per cell. The calculated density comes out at 6.23 g/cm³. The space-group type is P4/mmm, No. 123.


## Q
# LiNd2Te

A relaxed structure of LiNd2Te (PBE, Alexandria).

a b c (Å): 4.3663 4.3663 8.1270
angles (deg): 74.42 74.42 60.00
Closest atoms and distances in Å follow each position.
Fractional coordinates of all 4 atoms:
1 Li 0.0000 0.0000 0.0000  6 Nd 3.23
2 Te 0.5000 0.5000 0.5000  6 Nd 3.13
3 Nd 0.2465 0.2465 0.2606  3 Te 3.13, 3 Li 3.23
4 Nd 0.7535 0.7535 0.7394  3 Te 3.13, 3 Li 3.23

Calculated values
For the volume, the calculation gives 128 Å³ per cell. The calculated density comes out at 5.51 g/cm³. The space-group type is R-3m, No. 166.


Last place for stability: Q


## P
# LiNdTl2

A relaxed structure of LiNdTl2 (PBE, Alexandria).

a b c (Å): 3.6488 3.6488 7.5744
angles (deg): 90.00 90.00 90.00
Closest atoms and distances in Å follow each position.
Fractional coordinates of all 4 atoms:
1 Li 0.5000 0.5000 0.0000  8 Tl 3.03
2 Tl 0.0000 0.0000 0.7893  4 Li 3.03, 1 Tl 3.19, 4 Nd 3.39
3 Tl 0.0000 0.0000 0.2107  4 Li 3.03, 1 Tl 3.19, 4 Nd 3.39
4 Nd 0.5000 0.5000 0.5000  8 Tl 3.39, 4 Nd 3.65, 2 Li 3.79

Calculated values
For the volume, the calculation gives 101 Å³ per cell. The calculated density comes out at 9.22 g/cm³. The space-group type is P4/mmm, No. 123.


## Q
# LiNdTl2

A relaxed structure of LiNdTl2 (PBE, Alexandria).

a b c (Å): 5.2881 5.2881 5.2881
angles (deg): 60.00 60.00 60.00
Closest atoms and distances in Å follow each position.
Fractional coordinates of all 4 atoms:
1 Li 0.5000 0.5000 0.5000  8 Tl 3.24
2 Nd 0.0000 0.0000 0.0000  8 Tl 3.24
3 Tl 0.2500 0.2500 0.2500  4 Li 3.24, 4 Nd 3.24
4 Tl 0.7500 0.7500 0.7500  4 Li 3.24, 4 Nd 3.24

Calculated values
For the volume, the calculation gives 105 Å³ per cell. The calculated density comes out at 8.89 g/cm³. The space-group type is Fm-3m, No. 225.


Last place for stability: P


## P
# LiNdTl2

A relaxed structure of LiNdTl2 (PBE, Alexandria).

a b c (Å): 3.9783 5.2000 5.2000
angles (deg): 90.00 90.00 90.00
Closest atoms and distances in Å follow each position.
Fractional coordinates of all 4 atoms:
1 Nd 0.5000 0.5000 0.5000  8 Tl 3.27
2 Tl 0.0000 0.0000 0.5000  4 Li 3.27, 4 Nd 3.27
3 Tl 0.0000 0.5000 0.0000  4 Li 3.27, 4 Nd 3.27
4 Li 0.5000 0.0000 0.0000  8 Tl 3.27

Calculated values
For the volume, the calculation gives 108 Å³ per cell. The calculated density comes out at 8.64 g/cm³. The space-group type is P4/mmm, No. 123.


## Q
# LiNdTl2

A relaxed structure of LiNdTl2 (PBE, Alexandria).

a b c (Å): 3.8399 3.8399 8.9120
angles (deg): 77.56 77.56 60.00
Closest atoms and distances in Å follow each position.
Fractional coordinates of all 4 atoms:
1 Tl 0.2374 0.2374 0.2879  3 Li 2.89
2 Tl 0.0964 0.0964 0.7109  3 Li 2.86
3 Li 0.4993 0.4993 0.5022  6 Tl 2.86-2.89
4 Nd 0.6670 0.6670 0.9989  6 Tl 3.33-3.34

Calculated values
For the volume, the calculation gives 110 Å³ per cell. The calculated density comes out at 8.44 g/cm³. The space-group type is R3m, No. 160.


Last place for stability: Q


## P
# Li4Nd3Tl4

A relaxed structure of Li4Nd3Tl4 (PBE, Alexandria).

a b c (Å): 3.5629 4.9928 15.8677
angles (deg): 80.89 83.55 89.99
Closest atoms and distances in Å follow each position.
Fractional coordinates of all 11 atoms:
1 Nd 0.1439 0.6444 0.7128  6 Tl 3.33-3.38, 6 Li 3.44-3.51, 2 Nd 3.56
2 Nd 0.8562 0.3556 0.2872  6 Tl 3.33-3.38, 6 Li 3.44-3.51, 2 Nd 3.56
3 Nd 0.0000 0.0000 0.0000  4 Li 3.41, 8 Tl 3.45-3.46, 2 Nd 3.56
4 Li 0.2586 0.2590 0.4813  4 Tl 2.90-3.03, 4 Li 3.11-3.13
5 Li 0.7415 0.7411 0.5186  4 Tl 2.90-3.03, 4 Li 3.11-3.13
6 Li 0.4059 0.9060 0.1866  3 Tl 2.82-2.87
7 Li 0.5941 0.0941 0.8135  3 Tl 2.82-2.88
8 Tl 0.3145 0.8135 0.3712  5 Li 2.87-3.03
9 Tl 0.5513 0.5517 0.8977  2 Li 2.82
10 Tl 0.4487 0.4483 0.1023  2 Li 2.82
11 Tl 0.6855 0.1866 0.6287  5 Li 2.88-3.03

Calculated values
For the volume, the calculation gives 277 Å³ per cell. The calculated density comes out at 7.66 g/cm³. The space-group type is P-1, No. 2.


## Q
# Li4Nd3Tl4

A relaxed structure of Li4Nd3Tl4 (PBE, Alexandria).

a b c (Å): 4.8228 7.4590 8.8342
angles (deg): 114.97 105.84 90.00
Closest atoms and distances in Å follow each position.
Fractional coordinates of all 11 atoms:
1 Li 0.3254 0.5107 0.6509  1 Li 2.76, 4 Tl 2.78-2.87
2 Li 0.6746 0.8598 0.3491  1 Li 2.76, 4 Tl 2.78-2.87
3 Li 0.6746 0.4893 0.3491  1 Li 2.76, 4 Tl 2.78-2.87
4 Li 0.3254 0.1402 0.6509  1 Li 2.76, 4 Tl 2.78-2.87
5 Tl 0.7796 0.2796 0.5592  6 Li 2.84-2.87
6 Tl 0.5000 0.2080 0.0000  2 Li 2.78, 1 Tl 3.10
7 Tl 0.5000 0.7920 0.0000  2 Li 2.78, 1 Tl 3.10
8 Tl 0.2204 0.7204 0.4408  6 Li 2.84-2.87
9 Nd 0.0000 0.5000 0.0000  6 Tl 3.25-3.37
10 Nd 0.8787 0.8787 0.7574  6 Li 3.41-3.46, 6 Tl 3.41, 1 Nd 3.71
11 Nd 0.1213 0.1213 0.2426  6 Li 3.41-3.46, 6 Tl 3.41, 1 Nd 3.71

Calculated values
For the volume, the calculation gives 275 Å³ per cell. The calculated density comes out at 7.73 g/cm³. The space-group type is Immm, No. 71.


Last place for stability: Q


## P
# LiNd2Tl4

A relaxed structure of LiNd2Tl4 (PBE, Alexandria).

a b c (Å): 5.2503 5.2503 7.5157
angles (deg): 90.00 90.00 90.00
Closest atoms and distances in Å follow each position.
Fractional coordinates of all 7 atoms:
1 Nd 0.5000 0.5000 0.5000  8 Tl 3.23
2 Nd 0.0000 0.0000 0.0000  8 Tl 3.23
3 Tl 0.5000 0.0000 0.7496  4 Nd 3.23, 2 Li 3.23
4 Tl 0.5000 0.0000 0.2504  4 Nd 3.23, 2 Li 3.23
5 Tl 0.0000 0.5000 0.7496  4 Nd 3.23, 2 Li 3.23
6 Tl 0.0000 0.5000 0.2504  4 Nd 3.23, 2 Li 3.23
7 Li 0.5000 0.5000 0.0000  8 Tl 3.23

Calculated values
For the volume, the calculation gives 207 Å³ per cell. The calculated density comes out at 8.92 g/cm³. The space-group type is P4/mmm, No. 123.


## Q
# LiNd2Tl4

A relaxed structure of LiNd2Tl4 (PBE, Alexandria).

a b c (Å): 4.9128 4.9128 8.9055
angles (deg): 106.01 106.01 90.00
Closest atoms and distances in Å follow each position.
Fractional coordinates of all 7 atoms:
1 Nd 0.3585 0.3585 0.7170  9 Tl 3.16-3.50
2 Nd 0.6415 0.6415 0.2830  9 Tl 3.16-3.50
3 Li 0.0000 0.0000 0.0000  6 Tl 2.46-2.72
4 Tl 0.5000 0.0000 0.0000  2 Li 2.46
5 Tl 0.1659 0.1659 0.3317  1 Li 2.72
6 Tl 0.0000 0.5000 0.0000  2 Li 2.46
7 Tl 0.8341 0.8341 0.6683  1 Li 2.72

Calculated values
For the volume, the calculation gives 198 Å³ per cell. The calculated density comes out at 9.34 g/cm³. The space-group type is I4/mmm, No. 139.


Last place for stability: Q


## P
# LiNd2Tm

A relaxed structure of LiNd2Tm (PBE, Alexandria).

a b c (Å): 3.5541 3.5541 11.6118
angles (deg): 81.14 81.14 59.93
Closest atoms and distances in Å follow each position.
Fractional coordinates of all 4 atoms:
1 Nd 0.2494 0.2494 0.2515  3 Li 3.51, 3 Tm 3.53, 6 Nd 3.55
2 Nd 0.0844 0.0844 0.7483  3 Li 3.49-3.50, 3 Tm 3.53, 6 Nd 3.55
3 Li 0.4996 0.4996 0.5005  6 Nd 3.49-3.51, 6 Li 3.55
4 Tm 0.6666 0.6666 0.9997  6 Nd 3.53, 6 Tm 3.55

Calculated values
For the volume, the calculation gives 125 Å³ per cell. The calculated density comes out at 6.17 g/cm³. The space-group type is Cm, No. 8.


## Q
# LiNd2Tm

A relaxed structure of LiNd2Tm (PBE, Alexandria).

a b c (Å): 5.5691 5.5691 5.5691
angles (deg): 60.00 60.00 60.00
Closest atoms and distances in Å follow each position.
Fractional coordinates of all 4 atoms:
1 Tm 0.0000 0.0000 0.0000  8 Nd 3.41
2 Nd 0.7500 0.7500 0.7500  4 Li 3.41, 4 Tm 3.41
3 Nd 0.2500 0.2500 0.2500  4 Li 3.41, 4 Tm 3.41
4 Li 0.5000 0.5000 0.5000  8 Nd 3.41

Calculated values
For the volume, the calculation gives 122 Å³ per cell. The calculated density comes out at 6.31 g/cm³. The space-group type is Fm-3m, No. 225.


Last place for stability: Q